No. 1
VASP calculation (GGA-PBE) on BaTa3Ru after structural relaxation.

The space group is Pm-3m (No. 221) and the conventional cell measures 4.979, 4.979 and 4.979 Å, with angles of 90.00, 90.00 and 90.00 degrees. The inequivalent atoms are Ba at (0.000, 0.000, 0.000), Ta at (0.000, 0.500, 0.500) and Ru at (0.500, 0.500, 0.500).

For the formation energy from the elements, the calculation gives 1.015 eV/atom. The energy above the most stable polymorph in this dataset is 0 meV per atom. As for the electronic total energy: -8.337 eV per atom.

---

No. 2
VASP calculation (GGA-PBE) on Ba4TaRu after structural relaxation.

The space group is F-43m (No. 216) and the conventional cell measures 9.643, 9.643 and 9.643 Å, with angles of 90.00, 90.00 and 90.00 degrees. The inequivalent atoms are Ba at (0.125, 0.125, 0.125), Ta at (0.000, 0.000, 0.500) and Ru at (0.250, 0.250, 0.750).

For the formation energy from the elements, the calculation gives 1.650 eV/atom. As for the electronic total energy: -3.153 eV per atom.

---

No. 3
VASP calculation (GGA-PBE) on BaTaRu2 after structural relaxation.

The space group is I-42d (No. 122) and the conventional cell measures 7.451, 7.451 and 6.668 Å, with angles of 90.00, 90.00 and 90.00 degrees. The inequivalent atoms are Ba at (0.000, 0.000, 0.000), Ta at (0.000, 0.000, 0.500) and Ru at (0.190, 0.250, 0.625).

For the formation energy from the elements, the calculation gives 0.728 eV/atom. The energy above the most stable polymorph in this dataset is 584 meV per atom. As for the electronic total energy: -7.354 eV per atom.

---

No. 4
VASP calculation (GGA-PBE) on BaTaRu2 after structural relaxation.

The space group is C2/m (No. 12) and the conventional cell measures 7.978, 3.209 and 7.139 Å, with angles of 90.00, 98.12 and 90.00 degrees. The inequivalent atoms are Ba at (0.000, 0.000, 0.000), Ta at (0.000, 0.500, 0.500) and Ru at (0.229, 0.000, 0.662).

For the formation energy from the elements, the calculation gives 0.340 eV/atom. The energy above the most stable polymorph in this dataset is 196 meV per atom. As for the electronic total energy: -7.742 eV per atom.

---

No. 5
VASP calculation (GGA-PBE) on BaTaRu2 after structural relaxation.

The space group is Immm (No. 71) and the conventional cell measures 4.361, 5.266 and 7.134 Å, with angles of 90.00, 90.00 and 90.00 degrees. The inequivalent atoms are Ba at (0.000, 0.000, 0.000), Ta at (0.000, 0.000, 0.500) and Ru at (0.000, 0.500, 0.217).

For the formation energy from the elements, the calculation gives 0.712 eV/atom. The energy above the most stable polymorph in this dataset is 568 meV per atom. As for the electronic total energy: -7.370 eV per atom.

---

No. 6
VASP calculation (GGA-PBE) on BaTaRu2 after structural relaxation.

The space group is Cm (No. 8) and the conventional cell measures 9.634, 3.399 and 6.157 Å, with angles of 90.00, 105.13 and 90.00 degrees. The inequivalent atoms are Ba at (0.000, 0.000, 0.000), Ta at (0.306, 0.500, 0.405), Ru at (0.006, 0.500, 0.528) and Ru at (0.221, 0.000, 0.630).

For the formation energy from the elements, the calculation gives 0.454 eV/atom. The energy above the most stable polymorph in this dataset is 309 meV per atom. As for the electronic total energy: -7.628 eV per atom.

---

What is the electronic total energy in the first record?
-8.337 eV per atom

---

Repeat the third record exactly.
VASP calculation (GGA-PBE) on BaTaRu2 after structural relaxation.

The space group is I-42d (No. 122) and the conventional cell measures 7.451, 7.451 and 6.668 Å, with angles of 90.00, 90.00 and 90.00 degrees. The inequivalent atoms are Ba at (0.000, 0.000, 0.000), Ta at (0.000, 0.000, 0.500) and Ru at (0.190, 0.250, 0.625).

For the formation energy from the elements, the calculation gives 0.728 eV/atom. The energy above the most stable polymorph in this dataset is 584 meV per atom. As for the electronic total energy: -7.354 eV per atom.

---

Please write out number 1 again, unchanged.
VASP calculation (GGA-PBE) on BaTa3Ru after structural relaxation.

The space group is Pm-3m (No. 221) and the conventional cell measures 4.979, 4.979 and 4.979 Å, with angles of 90.00, 90.00 and 90.00 degrees. The inequivalent atoms are Ba at (0.000, 0.000, 0.000), Ta at (0.000, 0.500, 0.500) and Ru at (0.500, 0.500, 0.500).

For the formation energy from the elements, the calculation gives 1.015 eV/atom. The energy above the most stable polymorph in this dataset is 0 meV per atom. As for the electronic total energy: -8.337 eV per atom.